1.
ScAgO (PBE, optimized geometry); crystal system = tetragonal
1.0
3.477 0.000 0.000
0.000 3.477 0.000
-1.738 -1.738 7.837
O Ag Sc
2 2 2
direct
0.000 0.500 0.000
0.500 0.000 0.000
0.706 0.706 0.412
0.294 0.294 0.588
0.919 0.919 0.837
0.081 0.081 0.163

=====

2.
CaRe4Br (PBE, optimized geometry); crystal system = cubic
1.0
3.535 3.406 2.201
-1.732 4.062 3.073
0.868 -0.083 5.309
Br Ca Re
1 1 4
direct
0.750 0.750 0.750
0.000 0.000 0.000
0.376 0.873 0.376
0.376 0.376 0.376
0.376 0.376 0.873
0.873 0.376 0.376

=====

Computed raw formation energy, in the same sequence as the records: -4.375; 5.196 eV per formula unit.
Computed total moment, in the same sequence as the records: 0.00; 0.00 μB/atom.